Here is a geometry-optimized RbMg2Al structure from the Alexandria database. Energies are from GGA-PBE.

The formation energy is 0.15 eV/atom. The value obtained for the volume is 36.160 Å³/atom. The density of states at the Fermi level is 0.36 states/eV per atom.

The space group is Cm (No. 8) and the conventional cell measures 8.5544, 4.9374 and 7.4198 Å, with angles of 90.00, 112.62 and 90.00 degrees. The distinct sites, in fractional coordinates, are Rb at (0.0000, 0.0000, 0.0000), Mg at (0.1827, 0.0000, 0.5554), Mg at (0.4768, 0.0000, 0.4365) and Al at (0.3124, 0.5000, 0.4437).

=====

Here is a geometry-optimized RbMgAlS3 structure from the Alexandria database. Energies are from GGA-PBE.

The value obtained for the raw formation energy is -1.32 eV per atom. The value obtained for the volume is 24.974 Å³/atom. The density of states at the Fermi level is 0.00 states/eV per atom.

The space group is Cmcm (No. 63) and the conventional cell measures 3.7814, 15.1401 and 10.4695 Å, with angles of 90.00, 90.00 and 90.00 degrees. The distinct sites, in fractional coordinates, are Rb at (0.0000, 0.2452, 0.2500), Mg at (0.0000, 0.5000, 0.0000), Al at (0.0000, 0.0338, 0.7500), S at (0.0000, 0.1092, 0.5682) and S at (0.0000, 0.4423, 0.7500).

=====

Here is a geometry-optimized RbMgAlSb2 structure from the Alexandria database. Energies are from GGA-PBE.

The value obtained for the raw formation energy is -0.38 eV per atom. The value obtained for the volume is 33.777 Å³/atom.

The space group is C2/m (No. 12) and the conventional cell measures 14.8447, 4.5162 and 11.7571 Å, with angles of 90.00, 121.01 and 90.00 degrees. The distinct sites, in fractional coordinates, are Rb at (0.1755, 0.0000, 0.1350), Mg at (0.1471, 0.5000, 0.4220), Al at (0.0306, 0.0000, 0.6805), Sb at (0.0460, 0.5000, 0.8254) and Sb at (0.1552, 0.0000, 0.5722).

=====

Here is a geometry-optimized Rb2MgAlSe4 structure from the Alexandria database. Energies are from GGA-PBE.

The value obtained for the raw formation energy is -0.99 eV per atom. The value obtained for the volume is 30.164 Å³/atom. The density of states at the Fermi level is 1.26 states/eV per atom.

The space group is I-42m (No. 121) and the conventional cell measures 8.2887, 8.2887 and 7.0248 Å, with angles of 90.00, 90.00 and 90.00 degrees. The distinct sites, in fractional coordinates, are Rb at (0.0000, 0.5000, 0.0000), Mg at (0.0000, 0.0000, 0.0000), Al at (0.0000, 0.0000, 0.5000) and Se at (0.1549, 0.1549, 0.7308).

=====

Here is a geometry-optimized Rb2MgAlSi2 structure from the Alexandria database. Energies are from GGA-PBE.

The value obtained for the raw formation energy is -0.02 eV per atom. The value obtained for the volume is 29.451 Å³/atom. The density of states at the Fermi level is 0.65 states/eV per atom.

The space group is Ibam (No. 72) and the conventional cell measures 6.4029, 17.3489 and 6.3630 Å, with angles of 90.00, 90.00 and 90.00 degrees. The distinct sites, in fractional coordinates, are Rb at (0.2441, 0.1711, 0.0000), Mg at (0.0000, 0.0000, 0.2500), Al at (0.0000, 0.5000, 0.2500) and Si at (0.2275, 0.4169, 0.0000).

=====

Here is a geometry-optimized RbMg2AlSi structure from the Alexandria database. Energies are from GGA-PBE.

The value obtained for the raw formation energy is 0.57 eV per atom. The value obtained for the volume is 34.293 Å³/atom. The density of states at the Fermi level is 0.98 states/eV per atom.

The space group is P4/mmm (No. 123) and the conventional cell measures 5.1214, 5.1214 and 6.5373 Å, with angles of 90.00, 90.00 and 90.00 degrees. The distinct sites, in fractional coordinates, are Rb at (0.0000, 0.0000, 0.0000), Mg at (0.0000, 0.5000, 0.5000), Al at (0.5000, 0.5000, 0.0000) and Si at (0.0000, 0.0000, 0.5000).

=====

Here is a geometry-optimized RbMgAlSn2 structure from the Alexandria database. Energies are from GGA-PBE.

The formation energy is -0.13 eV/atom. The value obtained for the volume is 29.433 Å³/atom. The density of states at the Fermi level is 0.29 states/eV per atom.

The space group is I-4m2 (No. 119) and the conventional cell measures 4.9379, 4.9379 and 12.0716 Å, with angles of 90.00, 90.00 and 90.00 degrees. The distinct sites, in fractional coordinates, are Rb at (0.0000, 0.0000, 0.0000), Mg at (0.0000, 0.5000, 0.7500), Al at (0.0000, 0.5000, 0.2500) and Sn at (0.0000, 0.0000, 0.3777).

=====

Here is a geometry-optimized Rb2Mg3AlSn4 structure from the Alexandria database. Energies are from GGA-PBE.

The formation energy is -0.16 eV/atom. The value obtained for the volume is 29.678 Å³/atom. The density of states at the Fermi level is 0.22 states/eV per atom.

The space group is P-4m2 (No. 115) and the conventional cell measures 4.8310, 4.8310 and 12.7159 Å, with angles of 90.00, 90.00 and 90.00 degrees. The distinct sites, in fractional coordinates, are Rb at (0.0000, 0.5000, 0.2453), Mg at (0.0000, 0.0000, 0.0000), Mg at (0.0000, 0.5000, 0.6403), Al at (0.5000, 0.5000, 0.0000), Sn at (0.0000, 0.0000, 0.5000), Sn at (0.0000, 0.5000, 0.8711) and Sn at (0.5000, 0.5000, 0.5000).

=====

Here is a geometry-optimized Rb2MgAlTe4 structure from the Alexandria database. Energies are from GGA-PBE.

The value obtained for the raw formation energy is -0.74 eV per atom. The value obtained for the volume is 36.435 Å³/atom. The density of states at the Fermi level is 1.00 states/eV per atom.

The space group is I-42m (No. 121) and the conventional cell measures 8.7855, 8.7855 and 7.5529 Å, with angles of 90.00, 90.00 and 90.00 degrees. The distinct sites, in fractional coordinates, are Rb at (0.0000, 0.5000, 0.0000), Mg at (0.0000, 0.0000, 0.0000), Al at (0.0000, 0.0000, 0.5000) and Te at (0.1612, 0.1612, 0.2669).

=====

Here is a geometry-optimized RbMgAlTe3 structure from the Alexandria database. Energies are from GGA-PBE.

The value obtained for the raw formation energy is -0.74 eV per atom. The value obtained for the volume is 37.492 Å³/atom. The density of states at the Fermi level is 0.06 states/eV per atom.

The space group is P2_1/m (No. 11) and the conventional cell measures 9.8302, 4.2936 and 11.3755 Å, with angles of 90.00, 110.44 and 90.00 degrees. The distinct sites, in fractional coordinates, are Rb at (0.2158, 0.2500, 0.2151), Mg at (0.3641, 0.7500, 0.9048), Al at (0.0929, 0.2500, 0.6275), Te at (0.1197, 0.2500, 0.8580), Te at (0.1901, 0.7500, 0.5313) and Te at (0.4874, 0.7500, 0.1711).

=====

Here is a geometry-optimized Rb2MgAlW structure from the Alexandria database. Energies are from GGA-PBE.

The formation energy is 1.32 eV/atom. The value obtained for the volume is 47.695 Å³/atom. The density of states at the Fermi level is 0.60 states/eV per atom.

The space group is P4/mmm (No. 123) and the conventional cell measures 6.8302, 6.8302 and 5.1119 Å, with angles of 90.00, 90.00 and 90.00 degrees. The distinct sites, in fractional coordinates, are Rb at (0.0000, 0.5000, 0.0000), Mg at (0.0000, 0.0000, 0.5000), Al at (0.5000, 0.5000, 0.0000) and W at (0.5000, 0.5000, 0.5000).

=====

Here is a geometry-optimized MgAl2Re structure from the Alexandria database. Energies are from GGA-PBE.

The formation energy is 0.15 eV/atom. The value obtained for the volume is 16.433 Å³/atom. The density of states at the Fermi level is 0.77 states/eV per atom.

The space group is P4mm (No. 99) and the conventional cell measures 2.7849, 2.7849 and 8.4752 Å, with angles of 90.00, 90.00 and 90.00 degrees. The distinct sites, in fractional coordinates, are Mg at (0.0000, 0.0000, 0.0000), Al at (0.0000, 0.0000, 0.4746), Al at (0.5000, 0.5000, 0.7247) and Re at (0.5000, 0.5000, 0.2514).

=====

Here is a geometry-optimized Mg2AlRe structure from the Alexandria database. Energies are from GGA-PBE.

The formation energy is 0.16 eV/atom. The value obtained for the volume is 16.637 Å³/atom. The density of states at the Fermi level is 0.33 states/eV per atom.

The space group is P2/m (No. 10) and the conventional cell measures 2.7469, 4.8314 and 5.0485 Å, with angles of 90.00, 96.66 and 90.00 degrees. The distinct sites, in fractional coordinates, are Mg at (0.2415, 0.0000, 0.2417), Al at (0.0000, 0.5000, 0.5000) and Re at (0.5000, 0.5000, 0.0000).

=====

Calculated M_tot in order - 0.00; 0.00; 0.00; 0.00; 0.00; 0.00; 0.00; 0.00; 0.00; 0.00; 0.72; 0.00; 0.00 μB/atom